Record 1
First-principles (PBE-GGA) data for an optimized crystal structure of Ta6Os5Rh, as listed in the Alexandria database.

As for the mass density: 18.22 Mg/m³. Its volume is 390.1 Å³/cell. For the total DFT energy (no corrections), the calculation gives -11.507 eV/atom. The calculation puts the total magnetization at 0.000 Bohr magnetons per cell. For the energy of formation, the calculation gives -0.289 eV/atom.

The structure belongs to space group Immm (No. 71); the cell edges are 4.2888, 7.0526 and 12.8965 Å and the angles 90.00°, 90.00° and 90.00°. The distinct sites, in fractional coordinates, are Ta at (0.0000, 0.2428, 0.0000), Ta at (0.0000, 0.2533, 0.3331), Os at (0.0000, 0.0000, 0.1725), Os at (0.0000, 0.5000, 0.1590), Os at (0.0000, 0.5000, 0.5000) and Rh at (0.0000, 0.0000, 0.5000).

Record 2
First-principles (PBE-GGA) data for an optimized crystal structure of Ho2TeO6, as listed in the Alexandria database.

As for the mass density: 7.63 Mg/m³. Its volume is 481.6 Å³/cell. The uncorrected formation energy comes out at -23.108 eV per formula unit. The energy relative to the lowest polymorph listed for this composition is 0.0 meV per atom. For the total DFT energy (no corrections), the calculation gives -7.239 eV/atom. The calculation puts the total magnetization at 0.000 Bohr magnetons per cell.

The structure belongs to space group P2_12_12_1 (No. 19); the cell edges are 5.2856, 9.1178 and 9.9940 Å and the angles 90.00°, 90.00° and 90.00°. The distinct sites, in fractional coordinates, are Ho at (0.0180, 0.1035, 0.4621), Ho at (0.0395, 0.2170, 0.8653), Te at (0.0376, 0.4950, 0.3516), O at (0.0900, 0.8438, 0.0294), O at (0.1702, 0.9500, 0.3006), O at (0.1800, 0.6408, 0.8213), O at (0.1880, 0.6418, 0.2379), O at (0.2344, 0.1151, 0.0685) and O at (0.2432, 0.5856, 0.4954).

Record 3
First-principles (PBE-GGA) data for an optimized crystal structure of Cd7Sn2Hg2, as listed in the Alexandria database.

As for the mass density: 7.57 Mg/m³. Its volume is 625.0 Å³/cell. The energy relative to the lowest polymorph listed for this composition is 52.6 meV per atom. For the total DFT energy (no corrections), the calculation gives -1.274 eV/atom. The calculation puts the total magnetization at 0.000 Bohr magnetons per cell. For the energy of formation, the calculation gives 0.091 eV/atom.

The structure belongs to space group C2/m (No. 12); the cell edges are 10.1174, 9.4891 and 6.5102 Å and the angles 90.00°, 90.35° and 90.00°. The distinct sites, in fractional coordinates, are Cd at (0.0000, 0.0000, 0.0000), Cd at (0.0010, 0.5000, 0.2876), Cd at (0.2491, 0.2492, 0.2742), Sn at (0.2229, 0.5000, 0.0005) and Hg at (0.0000, 0.1592, 0.5000).

Record 4
First-principles (PBE-GGA) data for an optimized crystal structure of CePr6Ho10, as listed in the Alexandria database.

As for the mass density: 7.70 Mg/m³. Its volume is 568.1 Å³/cell. For the total DFT energy (no corrections), the calculation gives -4.582 eV/atom. The calculation puts the total magnetization at 1.364 Bohr magnetons per cell. For the energy of formation, the calculation gives 0.146 eV/atom.

The structure belongs to space group P-31m (No. 162); the cell edges are 9.7214, 9.7214 and 6.9410 Å and the angles 90.00°, 90.00° and 120.00°. The distinct sites, in fractional coordinates, are Ce at (0.0000, 0.0000, 0.0000), Pr at (0.0000, 0.3800, 0.2015), Ho at (0.0000, 0.2706, 0.6820), Ho at (0.3333, 0.6667, 0.0000) and Ho at (0.3333, 0.6667, 0.5000).

Record 5
First-principles (PBE-GGA) data for an optimized crystal structure of Ce2AlSe6, as listed in the Alexandria database.

As for the mass density: 4.98 Mg/m³. Its volume is 520.9 Å³/cell. The uncorrected formation energy comes out at -9.835 eV per formula unit. For the total DFT energy (no corrections), the calculation gives -5.150 eV/atom. The calculation puts the total magnetization at 0.000 Bohr magnetons per cell.

The structure belongs to space group P4_2/mnm (No. 136); the cell edges are 6.4291, 6.4291 and 12.6013 Å and the angles 90.00°, 90.00° and 90.00°. The distinct sites, in fractional coordinates, are Ce at (0.0000, 0.0000, 0.1692), Al at (0.0000, 0.0000, 0.5000), Se at (0.1897, 0.1897, 0.3524) and Se at (0.2112, 0.2112, 0.0000).

Record 6
First-principles (PBE-GGA) data for an optimized crystal structure of Fe12Re5Si3, as listed in the Alexandria database.

As for the mass density: 9.38 Mg/m³. Its volume is 2388.0 Å³/cell. The uncorrected formation energy comes out at 16.544 eV per formula unit. For the total DFT energy (no corrections), the calculation gives -8.176 eV/atom. The calculation puts the total magnetization at 71.400 Bohr magnetons per cell.

The structure belongs to space group Ia-3d (No. 230); the cell edges are 13.3662, 13.3662 and 13.3662 Å and the angles 90.00°, 90.00° and 90.00°. The distinct sites, in fractional coordinates, are Fe at (0.0121, 0.0852, 0.6522), Re at (0.0000, 0.0000, 0.0000), Re at (0.0000, 0.2500, 0.3750) and Si at (0.0000, 0.2500, 0.1250).

Record 7
First-principles (PBE-GGA) data for an optimized crystal structure of Ba2P2O7, as listed in the Alexandria database.

As for the mass density: 3.96 Mg/m³. Its volume is 752.6 Å³/cell. The uncorrected formation energy comes out at -30.555 eV per formula unit. For the total DFT energy (no corrections), the calculation gives -7.266 eV/atom. The calculation puts the total magnetization at 0.000 Bohr magnetons per cell.

The structure belongs to space group Pnma (No. 62); the cell edges are 9.4244, 5.6907 and 14.0327 Å and the angles 90.00°, 90.00° and 90.00°. The distinct sites, in fractional coordinates, are Ba at (0.1390, 0.2500, 0.0824), Ba at (0.1601, 0.2500, 0.7560), P at (0.0468, 0.2500, 0.3154), P at (0.2191, 0.7500, 0.9575), O at (0.0953, 0.0266, 0.2627), O at (0.1132, 0.7500, 0.6676), O at (0.1171, 0.2500, 0.4216), O at (0.1449, 0.5271, 0.9199) and O at (0.2281, 0.7500, 0.0668).

Record 8
First-principles (PBE-GGA) data for an optimized crystal structure of Er3Ga2Ag4, as listed in the Alexandria database.

As for the mass density: 9.31 Mg/m³. Its volume is 382.8 Å³/cell. For the total DFT energy (no corrections), the calculation gives -3.850 eV/atom. The calculation puts the total magnetization at 0.000 Bohr magnetons per cell. For the energy of formation, the calculation gives -0.389 eV/atom.

The structure belongs to space group C2/m (No. 12); the cell edges are 10.6229, 4.5995 and 8.7474 Å and the angles 90.00°, 116.39° and 90.00°. The distinct sites, in fractional coordinates, are Er at (0.0000, 0.0000, 0.0000), Er at (0.1587, 0.5000, 0.6731), Ga at (0.1228, 0.5000, 0.2920), Ag at (0.0738, 0.0000, 0.4008) and Ag at (0.2129, 0.5000, 0.0572).